This record from Alexandria via LeMat-Bulk describes an optimized crystal structure of HfMnF6. The functional is PBE+U.

Lattice parameters (Å, degrees): 5.8576 5.8576 5.8576 60.00 60.00 60.00
Last column: nearest neighbours and their distance in Å.
Sites, in units of the cell vectors:
Hf  0.0000  0.0000  0.0000  6 F 2.01
Mn  0.5000  0.5000  0.5000  6 F 2.14
F  0.2423  0.2423  0.7577  1 Hf 2.01, 1 Mn 2.14
F  0.2423  0.7577  0.2423  1 Hf 2.01, 1 Mn 2.14
F  0.2423  0.7577  0.7577  1 Hf 2.01, 1 Mn 2.14
F  0.7577  0.2423  0.2423  1 Hf 2.01, 1 Mn 2.14
F  0.7577  0.2423  0.7577  1 Hf 2.01, 1 Mn 2.14
F  0.7577  0.7577  0.2423  1 Hf 2.01, 1 Mn 2.14

Results
Spin magnetization (μB/f.u.): 5.000
Raw total energy (eV per atom): -7.032
Volume (A^3/atom): 17.8
Symmetry: Fm-3m (225)